32
Lattice="5.5860 0.0000 0.0000 0.0000 8.0776 0.0000 0.0000 0.0000 14.8226" Properties=species:S:1:pos:R:3 comment="GGA-PBE Ho3Ga3Pt2, relaxed" space_group="Pnma, No. 62" e_form_kj_per_mol_atoms=-90.2 e_tot_ev_per_cell=-169.5 pbc="T T T"
Ga 2.1647 5.5710 14.3026
Ho 3.4684 0.3331 9.0526
Ga 4.8316 6.7195 11.1169
Ga 0.6283 1.5322 14.3026
Ga 0.6283 1.5322 7.9312
Ho 0.6754 3.7057 1.6413
Ho 2.0378 5.5314 11.1169
Ga 3.4213 2.5066 0.5199
Ga 3.4213 2.5066 6.8913
Ho 2.1176 7.7445 5.7700
Ga 4.9577 6.5454 0.5199
Ho 4.8308 6.5850 3.7056
Pt 4.8757 0.7539 5.7948
Ho 0.6754 3.7057 5.7700
Pt 4.8757 0.7539 1.6165
Ga 2.0386 5.3970 3.7056
Ho 0.7552 1.4926 11.1169
Pt 2.0827 3.2849 9.0278
Pt 0.7103 7.3237 13.2061
Pt 3.5033 4.7927 5.7948
Ga 4.9577 6.5454 6.8913
Ho 4.9106 4.3719 9.0526
Ho 3.5482 2.5462 3.7056
Pt 3.5033 4.7927 1.6165
Ho 3.4684 0.3331 13.1812
Ga 0.7544 1.3582 3.7056
Ga 2.1647 5.5710 7.9312
Pt 0.7103 7.3237 9.0278
Ho 2.1176 7.7445 1.6413
Pt 2.0827 3.2849 13.2061
Ga 3.5474 2.6806 11.1169
Ho 4.9106 4.3719 13.1812



4
Lattice="-1.5494 -0.0891 -4.3289 -4.4734 -0.6721 -0.8277 -2.5890 3.4534 -1.5871" Properties=species:S:1:pos:R:3 comment="GGA-PBE MgInGaIr, relaxed" space_group="F-43m, No. 216" e_form_kj_per_mol_atoms=-12.7 e_tot_ev_per_cell=-16.7 pbc="T T T"
In -4.3059 1.3461 -3.3719
Ir -2.1529 0.6730 -1.6859
Mg -6.4588 2.0191 -5.0578
Ga 0.0000 0.0000 0.0000